Record 1
VASP calculation (PBE) on an optimized crystal structure of InSnPt2F.

Formation energy without anion corrections: 114 meV/atom
Symmetry: No. 123
Total magnetic moment: 0.000 μB per cell
E_tot: -4.025 eV per atom

Cell lengths 4.678, 4.415, 4.678 Å; angles 90.00, 90.00, 90.00 degrees
Positions (direct):
Sn1 0.500 0.500 0.500
In1 0.000 0.500 0.000
F1 0.000 0.000 0.000
Pt1 0.000 0.000 0.500
Pt2 0.500 0.000 0.000

Record 2
VASP calculation (PBE) on an optimized crystal structure of TaInPt2F.

Formation energy without anion corrections: 340 meV/atom
Symmetry: No. 123
Total magnetic moment: 0.000 μB per cell
E_tot: -5.369 eV per atom

Cell lengths 5.059, 3.956, 5.059 Å; angles 90.00, 90.00, 90.00 degrees
Positions (direct):
F1 0.000 0.500 0.000
Pt1 0.000 0.000 0.500
Pt2 0.500 0.000 0.000
Ta1 0.500 0.500 0.500
In1 0.000 0.000 0.000

Record 3
VASP calculation (PBE) on an optimized crystal structure of Pu2InF8.

Formation energy without anion corrections: -3183 meV/atom
Symmetry: No. 12
Total magnetic moment: 9.000 μB per cell
E_tot: -7.399 eV per atom

Cell lengths 4.620, 6.646, 6.646 Å; angles 65.48, 91.29, 91.29 degrees
Site moments in Bohr magnetons follow the coordinates.
Positions (direct):
F1 0.000 0.725 0.725  -0.02
F2 0.751 0.505 0.505  -0.02
F3 0.520 0.044 0.669  -0.02
F4 0.000 0.275 0.275  -0.02
F5 0.480 0.331 0.956  -0.02
F6 0.520 0.669 0.044  -0.02
F7 0.249 0.495 0.495  -0.02
F8 0.480 0.956 0.331  -0.02
In1 0.000 0.000 0.000  0.00
Pu1 0.510 0.325 0.325  4.54
Pu2 0.490 0.675 0.675  4.54

Record 4
VASP calculation (PBE) on an optimized crystal structure of PuInF4.

Formation energy without anion corrections: -2944 meV/atom
Symmetry: No. 62
Total magnetic moment: 20.000 μB per cell
E_tot: -7.036 eV per atom

Cell lengths 3.811, 6.226, 17.661 Å; angles 90.00, 90.00, 90.00 degrees
Site moments in Bohr magnetons follow the coordinates.
Positions (direct):
F1 0.250 0.067 0.830  -0.01
F2 0.750 0.388 0.880  -0.01
F3 0.250 0.638 0.969  -0.01
F4 0.750 0.888 0.620  -0.01
F5 0.750 0.933 0.170  -0.01
F6 0.250 0.138 0.531  -0.01
F7 0.250 0.015 0.054  -0.01
F8 0.250 0.515 0.446  -0.01
F9 0.750 0.433 0.330  -0.01
F10 0.750 0.985 0.946  -0.01
F11 0.750 0.362 0.031  -0.01
F12 0.250 0.612 0.120  -0.01
F13 0.250 0.112 0.380  -0.01
F14 0.750 0.485 0.554  -0.01
F15 0.750 0.862 0.469  -0.01
F16 0.250 0.567 0.670  -0.01
Pu1 0.250 0.756 0.554  4.98
Pu2 0.750 0.744 0.054  4.98
Pu3 0.250 0.256 0.946  4.98
Pu4 0.750 0.244 0.446  4.98
In1 0.250 0.678 0.307  0.00
In2 0.750 0.322 0.693  0.00
In3 0.250 0.178 0.193  0.00
In4 0.750 0.822 0.807  0.00

Record 5
VASP calculation (PBE) on an optimized crystal structure of PuIn2F4.

Formation energy without anion corrections: -2476 meV/atom
Symmetry: No. 139
Total magnetic moment: 4.877 μB per cell
E_tot: -6.375 eV per atom

Cell lengths 4.541, 4.541, 9.757 Å; angles 76.54, 76.54, 90.00 degrees
Site moments in Bohr magnetons follow the coordinates.
Positions (direct):
F1 0.000 0.500 0.000  -0.02
F2 0.500 0.000 0.000  -0.02
F3 0.122 0.122 0.757  -0.01
F4 0.878 0.878 0.243  -0.01
In1 0.245 0.245 0.510  0.00
In2 0.755 0.755 0.490  0.00
Pu1 0.000 0.000 0.000  4.89

Record 6
VASP calculation (PBE) on an optimized crystal structure of PuInF4.

Formation energy without anion corrections: -2942 meV/atom
Symmetry: No. 11
Total magnetic moment: 10.000 μB per cell
E_tot: -7.035 eV per atom

Cell lengths 4.604, 7.574, 7.390 Å; angles 90.00, 90.00, 92.43 degrees
Site moments in Bohr magnetons follow the coordinates.
Positions (direct):
Pu1 0.980 0.390 0.250  4.99
Pu2 0.020 0.610 0.750  4.99
F1 0.060 0.658 0.435  -0.01
F2 0.482 0.389 0.250  -0.02
F3 0.940 0.342 0.935  -0.01
F4 0.009 0.910 0.750  -0.01
F5 0.991 0.090 0.250  -0.01
F6 0.940 0.342 0.565  -0.01
F7 0.060 0.658 0.065  -0.01
F8 0.518 0.611 0.750  -0.02
In1 0.351 0.881 0.250  0.00
In2 0.649 0.119 0.750  0.00

Record 7
VASP calculation (PBE) on an optimized crystal structure of Pu2InF8.

Formation energy without anion corrections: -3228 meV/atom
Symmetry: No. 8
Total magnetic moment: 9.000 μB per cell
E_tot: -7.443 eV per atom

Cell lengths 4.489, 6.669, 6.669 Å; angles 115.10, 93.75, 93.75 degrees
Site moments in Bohr magnetons follow the coordinates.
Positions (direct):
F1 0.744 0.607 0.607  -0.02
F2 0.251 0.391 0.391  -0.02
F3 0.569 0.337 0.033  -0.02
F4 0.412 0.960 0.659  -0.02
F5 0.412 0.659 0.960  -0.02
F6 0.997 0.278 0.714  -0.02
F7 0.997 0.714 0.278  -0.02
F8 0.569 0.033 0.337  -0.02
Pu1 0.498 0.323 0.672  4.54
Pu2 0.498 0.672 0.323  4.54
In1 0.055 0.991 0.991  -0.01

Record 8
VASP calculation (PBE) on an optimized crystal structure of Pu2InF11.

Formation energy without anion corrections: -3116 meV/atom
Symmetry: No. 72
Total magnetic moment: 16.000 μB per cell
E_tot: -6.829 eV per atom

Cell lengths 8.377, 8.479, 8.479 Å; angles 73.41, 60.40, 60.40 degrees
Site moments in Bohr magnetons follow the coordinates.
Positions (direct):
F1 0.574 0.207 0.072  -0.02
F2 0.370 0.710 0.290  -0.04
F3 0.870 0.790 0.210  -0.04
F4 0.630 0.290 0.710  -0.04
F5 0.500 0.500 0.500  -0.03
F6 0.074 0.572 0.707  -0.02
F7 0.731 0.682 0.030  -0.02
F8 0.647 0.707 0.572  -0.02
F9 0.000 0.000 0.000  -0.03
F10 0.147 0.072 0.207  -0.02
F11 0.443 0.970 0.318  -0.02
F12 0.057 0.182 0.530  -0.02
F13 0.426 0.793 0.928  -0.02
F14 0.943 0.818 0.470  -0.02
F15 0.353 0.293 0.428  -0.02
F16 0.926 0.428 0.293  -0.02
F17 0.130 0.210 0.790  -0.04
F18 0.769 0.470 0.818  -0.02
F19 0.853 0.928 0.793  -0.02
F20 0.557 0.030 0.682  -0.02
F21 0.269 0.318 0.970  -0.02
F22 0.231 0.530 0.182  -0.02
Pu1 0.156 0.818 0.182  4.09
Pu2 0.344 0.318 0.682  4.09
Pu3 0.656 0.682 0.318  4.09
Pu4 0.844 0.182 0.818  4.09
In1 0.250 0.250 0.250  0.00
In2 0.750 0.750 0.750  0.00

| no. | Fermi-level density of states (states/eV/cell) |
| --- | --- |
| 1 | 3.29 |
| 2 | 3.96 |
| 3 | 16.96 |
| 4 | 47.87 |
| 5 | 6.70 |
| 6 | 18.25 |
| 7 | 18.55 |
| 8 | 38.64 |